VASP calculation (SCAN) on a PBEsol-optimized structure of Sc2TlSb.

## Properties
DOS(E_F), states/eV/cell: 1.8
Density, Mg/m³: 7.7
Space group: I-4m2
Magnetization, μB per formula unit: 0.00
Energy, eV per atom: -35.18

Lattice parameters (Å, degrees): 4.1849 4.1849 5.8935 110.80 110.80 90.00
With the nearest neighbours (Å) after each atom.
Element x y z (fractional)
Sc: 0.5000 0.5000 0.0000  4 Sb 2.96, 4 Tl 3.30, 4 Sc 3.30
Sc: 0.2500 0.7500 0.5000  4 Tl 2.96, 4 Sb 3.30, 4 Sc 3.30
Sb: 0.0000 0.0000 0.0000  8 Sc 2.96-3.30, 4 Tl 3.30
Tl: 0.7500 0.2500 0.5000  8 Sc 2.96-3.30, 4 Sb 3.30